{
  "formula": "BeCdTeO",
  "functional": "PBE-GGA",
  "state": "relaxed",
  "cell": [[7.0274, 0.0000, 0.0000], [0.0000, 7.3589, 0.0000], [0.0000, 0.0000, 11.6239]],
  "species": ["Be", "Be", "Be", "Be", "Be", "Be", "Be", "Be", "Cd", "Cd", "Cd", "Cd", "Cd", "Cd", "Cd", "Cd", "Te", "Te", "Te", "Te", "Te", "Te", "Te", "Te", "O", "O", "O", "O", "O", "O", "O", "O"],
  "frac_coords": [[0.0832, 0.1845, 0.0841], [0.0832, 0.3155, 0.5841], [0.4168, 0.6845, 0.0841], [0.4168, 0.8155, 0.5841], [0.5832, 0.1845, 0.4159], [0.5832, 0.3155, 0.9159], [0.9168, 0.6845, 0.4159], [0.9168, 0.8155, 0.9159], [0.1587, 0.5867, 0.7670], [0.1587, 0.9133, 0.2670], [0.3413, 0.0867, 0.7670], [0.3413, 0.4133, 0.2670], [0.6587, 0.5867, 0.7330], [0.6587, 0.9133, 0.2330], [0.8413, 0.0867, 0.7330], [0.8413, 0.4133, 0.2330], [0.2371, 0.5817, 0.4809], [0.2371, 0.9183, 0.9809], [0.2629, 0.0817, 0.4809], [0.2629, 0.4183, 0.9809], [0.7371, 0.5817, 0.0191], [0.7371, 0.9183, 0.5191], [0.7629, 0.0817, 0.0191], [0.7629, 0.4183, 0.5191], [0.0979, 0.2249, 0.2134], [0.0979, 0.2751, 0.7134], [0.4021, 0.7249, 0.2134], [0.4021, 0.7751, 0.7134], [0.5979, 0.2249, 0.2866], [0.5979, 0.2751, 0.7866], [0.9021, 0.7249, 0.2866], [0.9021, 0.7751, 0.7866]],
  "de_polymorph_ev_per_atom": 0.401,
  "crystal_system": "orthorhombic"
}